[1]
{"formula": "Mg5Hg6Rh", "functional": "PBE", "state": "optimized geometry", "e_tot_ev_per_atom": -1.5900, "crystal_system": "monoclinic", "e_form_ev_per_atom": -0.162, "lattice_angstrom": [[4.263, -7.137, 0.000], [4.263, 7.137, 0.000], [-2.639, 0.000, 3.962]], "species": ["Mg", "Mg", "Mg", "Mg", "Mg", "Hg", "Hg", "Hg", "Hg", "Hg", "Hg", "Rh"], "frac_coords": [[0.000, 0.000, 0.000], [0.170, 0.830, 0.500], [0.342, 0.658, 0.000], [0.658, 0.342, 0.000], [0.830, 0.170, 0.500], [0.081, 0.414, 0.247], [0.248, 0.248, 0.746], [0.414, 0.081, 0.247], [0.586, 0.919, 0.753], [0.752, 0.752, 0.254], [0.919, 0.586, 0.753], [0.500, 0.500, 0.500]]}

***

[2]
{"formula": "Ac2Pm5Nd2", "functional": "PBE", "state": "optimized geometry", "e_tot_ev_per_atom": -4.5683, "crystal_system": "triclinic", "e_form_ev_per_atom": 0.043, "lattice_angstrom": [[3.695, 0.000, 0.000], [-1.843, 8.649, 0.000], [-1.822, -2.073, 10.391]], "species": ["Ac", "Ac", "Pm", "Pm", "Pm", "Pm", "Pm", "Nd", "Nd"], "frac_coords": [[0.217, 0.174, 0.263], [0.783, 0.826, 0.737], [0.000, 0.500, 0.500], [0.391, 0.169, 0.611], [0.447, 0.836, 0.057], [0.553, 0.164, 0.943], [0.609, 0.831, 0.389], [0.155, 0.469, 0.840], [0.845, 0.531, 0.160]]}